VASP calculation (PBE) on a relaxed structure of Sm2TiZn.

The structure in POSCAR format:
```
Sm2TiZn
1.0
3.421 0.000 0.000
0.000 3.421 0.000
0.000 0.000 8.392
Zn Sm Ti
1 2 1
Cartesian
1.710 1.710 0.000 Zn
0.000 0.000 6.363 Sm
0.000 0.000 2.030 Sm
1.710 1.710 4.196 Ti
```

Calculated values
Energy relative to the elements ... 0.018 eV/atom

=====

VASP calculation (PBE) on a relaxed structure of KVSb3.

The structure in POSCAR format:
```
KVSb3
1.0
-3.120 -2.404 4.117
4.622 -2.732 1.907
1.169 4.384 3.446
Sb K V
3 1 1
Cartesian
2.311 -1.366 0.954 Sb
0.585 2.192 1.723 Sb
-1.560 -1.202 2.058 Sb
0.000 0.000 0.000 K
1.336 -0.376 4.735 V
```

=====

no.,energy above the most stable polymorph in this dataset (kJ/mol of formula units)
1,0
2,787